Record 1
Tl2Zn2Si (PBE, relaxed); final energy = -2.30 eV/atom; formation energy (no corrections) = 1.199 eV/f.u.; spin magnetization = 0.000 μB per formula unit
1.0
6.629 0.000 0.000
0.000 6.629 0.000
0.000 0.000 5.151
Tl Zn Si
4 4 2
direct
0.678 0.822 0.500
0.322 0.178 0.500
0.822 0.322 0.500
0.178 0.678 0.500
0.861 0.639 0.000
0.361 0.861 0.000
0.639 0.139 0.000
0.139 0.361 0.000
0.000 0.000 0.000
0.500 0.500 0.000

=====

Record 2
LiRe2Mo (PBE, relaxed); final energy = -9.08 eV/atom; distance to the lowest polymorph of the same formula = 151.5 meV per atom; spin magnetization = 0.000 μB per formula unit
1.0
3.181 0.000 0.000
0.000 3.181 0.000
0.000 0.000 5.609
Mo Li Re
1 1 2
direct
0.500 0.500 0.750
0.500 0.500 0.250
0.000 0.000 0.479
0.000 0.000 0.021